Record 1
# Te3SeCl (PBE, optimized geometry)
data_Te3SeCl
_chemical_formula_sum 'Te18 Se6 Cl6'
_space_group_name_H-M_alt 'R 3 c'
_space_group_IT_number 161
_space_group_name_Hall 'R 3 -2"c'
_cell_length_a 6.8151
_cell_length_b 6.8151
_cell_length_c 26.7318
_cell_angle_alpha 90.00
_cell_angle_beta 90.00
_cell_angle_gamma 120.00
loop_
_atom_site_label
_atom_site_fract_x
_atom_site_fract_y
_atom_site_fract_z
Te1 0.1222 0.3929 0.0000
Se1 0.0000 0.0000 0.4308
Cl1 0.0000 0.0000 0.1850
# crystal system: trigonal

=====

Record 2
# TeSeCl2 (PBE, optimized geometry)
data_TeSeCl2
_chemical_formula_sum 'Te1 Se1 Cl2'
_space_group_name_H-M_alt 'P 4 m m'
_space_group_IT_number 99
_cell_length_a 4.368
_cell_length_b 4.368
_cell_length_c 7.187
_cell_angle_alpha 90.00
_cell_angle_beta 90.00
_cell_angle_gamma 90.00
loop_
_space_group_symop_operation_xyz
'x,y,z'
'-y,x,z'
'-x,-y,z'
'y,-x,z'
'-x,y,z'
'y,x,z'
'x,-y,z'
'-y,-x,z'
loop_
_atom_site_label
_atom_site_fract_x
_atom_site_fract_y
_atom_site_fract_z
Te1 0.000 0.000 0.000
Se1 0.500 0.500 0.962
Cl1 0.000 0.000 0.670
Cl2 0.500 0.500 0.268
# crystal system: tetragonal

=====

Record 3
# Te2Se2Cl (PBE, optimized geometry)
data_Te2Se2Cl
_chemical_formula_sum 'Te4 Se4 Cl2'
_space_group_name_H-M_alt 'P -1'
_space_group_IT_number 2
_cell_length_a 6.891
_cell_length_b 8.287
_cell_length_c 8.315
_cell_angle_alpha 71.03
_cell_angle_beta 88.40
_cell_angle_gamma 72.84
loop_
_space_group_symop_operation_xyz
'x,y,z'
'-x,-y,-z'
loop_
_atom_site_label
_atom_site_fract_x
_atom_site_fract_y
_atom_site_fract_z
Te1 0.061 0.062 0.232
Te2 0.270 0.564 0.436
Se1 0.003 0.216 0.816
Se2 0.296 0.856 0.495
Cl1 0.213 0.332 0.278
# crystal system: triclinic

=====

Record 4
# TeSeCl2 (PBE, optimized geometry)
data_TeSeCl2
_chemical_formula_sum 'Te2 Se2 Cl4'
_space_group_name_H-M_alt 'C 1 m 1'
_space_group_IT_number 8
_cell_length_a 7.729
_cell_length_b 3.878
_cell_length_c 8.674
_cell_angle_alpha 90.00
_cell_angle_beta 101.36
_cell_angle_gamma 90.00
loop_
_space_group_symop_operation_xyz
'x,y,z'
'x,-y,z'
'x+1/2,y+1/2,z'
'x+1/2,-y+1/2,z'
loop_
_atom_site_label
_atom_site_fract_x
_atom_site_fract_y
_atom_site_fract_z
Te1 0.000 0.000 0.000
Se1 0.168 0.500 0.205
Cl1 0.026 0.500 0.410
Cl2 0.366 0.000 0.788
# crystal system: monoclinic

=====

Record 5
# TeSeCl2 (PBE, optimized geometry)
data_TeSeCl2
_chemical_formula_sum 'Te4 Se4 Cl8'
_space_group_name_H-M_alt 'P 1 21/c 1'
_space_group_IT_number 14
_cell_length_a 7.412
_cell_length_b 4.690
_cell_length_c 16.986
_cell_angle_alpha 90.00
_cell_angle_beta 115.82
_cell_angle_gamma 90.00
loop_
_space_group_symop_operation_xyz
'x,y,z'
'-x,-y,-z'
'-x,y+1/2,-z+1/2'
'x,-y+1/2,z+1/2'
loop_
_atom_site_label
_atom_site_fract_x
_atom_site_fract_y
_atom_site_fract_z
Te1 0.170 0.000 0.420
Se1 0.070 0.249 0.250
Cl1 0.140 0.746 0.087
Cl2 0.465 0.746 0.913
# crystal system: monoclinic

=====

Record 6
# Te3SeCl (PBE, optimized geometry)
data_Te3SeCl
_chemical_formula_sum 'Te3 Se1 Cl1'
_space_group_name_H-M_alt 'P m -3 m'
_space_group_IT_number 221
_space_group_name_Hall '-P 4 2 3'
_cell_length_a 5.486
_cell_length_b 5.486
_cell_length_c 5.486
_cell_angle_alpha 90.00
_cell_angle_beta 90.00
_cell_angle_gamma 90.00
loop_
_atom_site_label
_atom_site_fract_x
_atom_site_fract_y
_atom_site_fract_z
Te1 0.000 0.000 0.500
Se1 0.000 0.000 0.000
Cl1 0.500 0.500 0.500
# crystal system: cubic

=====

Record 7
# TeSeCl2 (PBE, optimized geometry)
data_TeSeCl2
_chemical_formula_sum 'Te4 Se4 Cl8'
_space_group_name_H-M_alt 'I -4 2 d'
_space_group_IT_number 122
_space_group_name_Hall 'I -4 2bw'
_cell_length_a 10.668
_cell_length_b 10.668
_cell_length_c 5.260
_cell_angle_alpha 90.00
_cell_angle_beta 90.00
_cell_angle_gamma 90.00
loop_
_atom_site_label
_atom_site_fract_x
_atom_site_fract_y
_atom_site_fract_z
Te1 0.000 0.000 0.000
Se1 0.000 0.000 0.500
Cl1 0.003 0.750 0.125
# crystal system: tetragonal

=====

Record 8
# TeSeCl2 (PBE, optimized geometry)
data_TeSeCl2
_chemical_formula_sum 'Te2 Se2 Cl4'
_space_group_name_H-M_alt 'I m m 2'
_space_group_IT_number 44
_cell_length_a 3.616
_cell_length_b 5.324
_cell_length_c 12.093
_cell_angle_alpha 90.00
_cell_angle_beta 90.00
_cell_angle_gamma 90.00
loop_
_space_group_symop_operation_xyz
'x,y,z'
'-x,-y,z'
'-x,y,z'
'x,-y,z'
'x+1/2,y+1/2,z+1/2'
'-x+1/2,-y+1/2,z+1/2'
'-x+1/2,y+1/2,z+1/2'
'x+1/2,-y+1/2,z+1/2'
loop_
_atom_site_label
_atom_site_fract_x
_atom_site_fract_y
_atom_site_fract_z
Te1 0.000 0.000 0.000
Se1 0.000 0.500 0.342
Cl1 0.000 0.000 0.507
Cl2 0.000 0.500 0.678
# crystal system: orthorhombic

=====

| no. | uncorrected formation energy (eV per atom) | DFT total energy (eV/atom) | energy above the lowest structure with this stoichiometry (eV per formula unit) |
| --- | --- | --- | --- |
| 1 | 0.130 | -2.821 | 0.00 |
| 2 | -0.083 | -2.663 | 0.92 |
| 3 | -0.089 | -3.109 | 0.02 |
| 4 | -0.248 | -2.828 | 0.26 |
| 5 | -0.227 | -2.807 | 0.34 |
| 6 | 0.544 | -2.407 | 2.07 |
| 7 | -0.003 | -2.583 | 1.24 |
| 8 | -0.050 | -2.630 | 1.05 |